PBE-GGA MnGe2Ru, optimized geometry; space-group type = No. 166; ΔE_f = 0.15 eV/atom
1.0
2.944 0.000 0.000
-1.472 2.550 0.000
0.000 0.000 26.220
Mn Ge Ru
3 6 3
direct
0.000 0.000 0.000
0.333 0.667 0.667
0.667 0.333 0.333
0.000 0.000 0.094
0.000 0.000 0.906
0.333 0.667 0.573
0.333 0.667 0.760
0.667 0.333 0.240
0.667 0.333 0.427
0.000 0.000 0.500
0.333 0.667 0.167
0.667 0.333 0.833



PBE-GGA SrInFeSn2, optimized geometry; space-group type = No. 123; ΔE_f = -0.14 eV/atom
1.0
5.097 0.000 0.000
0.000 5.097 0.000
0.000 0.000 5.122
Sr In Fe Sn
1 1 1 2
direct
0.000 0.000 0.000
0.500 0.500 0.000
0.500 0.500 0.500
0.000 0.500 0.500
0.500 0.000 0.500



PBE-GGA LaMgBi3, optimized geometry; space-group type = No. 221; ΔE_f = 0.47 eV/atom
1.0
6.141 0.000 0.000
0.000 6.141 0.000
0.000 0.000 6.141
La Mg Bi
1 1 3
direct
0.000 0.000 0.000
0.500 0.500 0.500
0.000 0.000 0.500
0.000 0.500 0.000
0.500 0.000 0.000



PBE-GGA SmDy2Y3Sb6, optimized geometry; space-group type = No. 12; raw formation energy = -1155 meV/atom
1.0
3.813 -6.606 0.000
3.813 6.606 0.000
-2.541 0.000 7.187
Sm Dy Y Sb
1 2 3 6
direct
0.000 0.000 0.000
0.333 0.667 0.000
0.667 0.333 0.000
0.165 0.835 0.500
0.500 0.500 0.500
0.835 0.165 0.500
0.084 0.420 0.252
0.253 0.253 0.750
0.420 0.084 0.252
0.580 0.916 0.748
0.747 0.747 0.250
0.916 0.580 0.748



PBE-GGA NdZrGa3, optimized geometry; space-group type = No. 63; ΔE_f = -0.62 eV/atom
1.0
2.051 -12.661 0.000
2.051 12.661 0.000
0.000 0.000 4.106
Nd Zr Ga
2 2 6
direct
0.076 0.924 0.750
0.924 0.076 0.250
0.206 0.794 0.250
0.794 0.206 0.750
0.316 0.684 0.250
0.375 0.625 0.750
0.474 0.526 0.750
0.526 0.474 0.250
0.625 0.375 0.250
0.684 0.316 0.750



PBE-GGA ZnCdFe2, optimized geometry; space-group type = No. 44; ΔE_f = 0.22 eV/atom
1.0
2.949 0.000 0.000
0.000 4.520 0.000
0.000 0.000 8.800
Zn Cd Fe
2 2 4
direct
0.000 0.000 0.000
0.500 0.500 0.500
0.000 0.500 0.771
0.500 0.000 0.271
0.000 0.000 0.542
0.000 0.500 0.251
0.500 0.000 0.751
0.500 0.500 0.042



PBE-GGA YMn2AgS, optimized geometry; space-group type = No. 123; raw formation energy = 76 meV/atom
1.0
4.394 0.000 0.000
0.000 4.394 0.000
0.000 0.000 4.834
Y Mn Ag S
1 2 1 1
direct
0.000 0.000 0.000
0.000 0.500 0.500
0.500 0.000 0.500
0.500 0.500 0.000
0.500 0.500 0.500



PBE-GGA RbCrAs2, optimized geometry; space-group type = No. 225; ΔE_f = 0.51 eV/atom
1.0
7.155 0.000 0.000
0.000 7.155 0.000
0.000 0.000 7.155
Rb Cr As
4 4 8
direct
0.000 0.000 0.000
0.000 0.500 0.500
0.500 0.000 0.500
0.500 0.500 0.000
0.000 0.000 0.500
0.000 0.500 0.000
0.500 0.000 0.000
0.500 0.500 0.500
0.250 0.250 0.250
0.250 0.250 0.750
0.250 0.750 0.250
0.250 0.750 0.750
0.750 0.250 0.250
0.750 0.250 0.750
0.750 0.750 0.250
0.750 0.750 0.750